1:
Material: BaReSe2Br
Method: DFT, PBE-GGA
State: optimized geometry

- size of the total moment (μB/f.u.) = 1.00
- volume (Å³/f.u.) = 133

```
BaReSe2Br
1.0
4.963 0.000 0.000
0.000 4.963 0.000
0.000 0.000 5.415
Ba Re Se Br
1 1 2 1
direct
0.000 0.000 0.000
0.500 0.500 0.500
0.000 0.500 0.500
0.500 0.000 0.500
0.500 0.500 0.000
```

2:
Material: BaReSe2Br
Method: DFT, PBE-GGA
State: optimized geometry

- size of the total moment (μB/f.u.) = 4.01
- volume (Å³/f.u.) = 236

```
BaReSe2Br
1.0
6.207 0.000 0.000
0.000 6.207 0.000
0.000 0.000 6.129
Ba Re Se Br
1 1 2 1
direct
0.000 0.000 0.000
0.500 0.500 0.500
0.000 0.500 0.000
0.500 0.000 0.000
0.000 0.000 0.500
```

Result of the stability comparison: 1 is the most stable of them.

1:
Material: BaRh2Br
Method: DFT, PBE-GGA
State: optimized geometry

- size of the total moment (μB/f.u.) = 0.00
- volume (Å³/f.u.) = 89

```
BaRh2Br
1.0
3.438 0.000 0.000
0.000 4.073 0.000
0.000 0.000 6.323
Ba Rh Br
1 2 1
direct
0.000 0.000 0.000
0.500 0.500 0.291
0.500 0.500 0.709
0.000 0.000 0.500
```

2:
Material: BaRh2Br
Method: DFT, PBE-GGA
State: optimized geometry

- size of the total moment (μB/f.u.) = 0.62
- volume (Å³/f.u.) = 100

```
BaRh2Br
1.0
3.561 0.000 0.000
0.000 3.568 0.000
-1.665 0.000 7.859
Ba Rh Br
1 2 1
direct
0.000 0.000 0.000
0.362 0.500 0.700
0.820 0.000 0.606
0.621 0.500 0.259
```

3:
Material: BaRh2Br
Method: DFT, PBE-GGA
State: optimized geometry

- size of the total moment (μB/f.u.) = 0.00
- volume (Å³/f.u.) = 109

```
BaRh2Br
1.0
-2.611 2.611 8.033
2.611 -2.611 8.033
2.611 2.611 -8.033
Ba Rh Br
2 4 2
direct
0.000 0.000 0.000
0.750 0.250 0.500
0.330 0.625 0.205
0.375 0.580 0.705
0.420 0.125 0.795
0.875 0.670 0.295
0.250 0.750 0.500
0.500 0.500 0.000
```

4:
Material: BaRh2Br
Method: DFT, PBE-GGA
State: optimized geometry

- size of the total moment (μB/f.u.) = 0.66
- volume (Å³/f.u.) = 105

```
BaRh2Br
1.0
5.026 -2.289 0.000
5.026 2.289 0.000
-0.816 0.000 4.570
Ba Rh Br
1 2 1
direct
0.000 0.000 0.000
0.254 0.254 0.605
0.746 0.746 0.395
0.500 0.500 0.500
```

Result of the stability comparison: 2 is the most stable of them.

1:
Material: BaRhBr
Method: DFT, PBE-GGA
State: optimized geometry

- size of the total moment (μB/f.u.) = 0.00
- volume (Å³/f.u.) = 88

```
BaRhBr
1.0
4.048 0.000 0.000
-2.008 5.588 0.000
-0.015 -0.989 7.823
Ba Rh Br
2 2 2
direct
0.000 0.000 0.000
0.335 0.668 0.551
0.059 0.120 0.580
0.639 0.279 0.777
0.273 0.542 0.957
0.580 0.158 0.342
```

2:
Material: BaRhBr
Method: DFT, PBE-GGA
State: optimized geometry

- size of the total moment (μB/f.u.) = 0.00
- volume (Å³/f.u.) = 90

```
BaRhBr
1.0
4.439 0.000 0.000
1.363 4.227 0.000
1.880 1.356 9.581
Ba Rh Br
2 2 2
direct
0.000 0.000 0.000
0.429 0.432 0.505
0.193 0.195 0.285
0.815 0.817 0.306
0.556 0.556 0.164
0.701 0.700 0.771
```

Result of the stability comparison: 2 is the most stable of them.

1:
Material: Ba2RhBr
Method: DFT, PBE-GGA
State: optimized geometry

- size of the total moment (μB/f.u.) = 0.00
- volume (Å³/f.u.) = 127

```
Ba2RhBr
1.0
3.863 0.000 0.000
0.000 3.893 0.000
0.000 0.000 8.424
Ba Rh Br
2 1 1
direct
0.000 0.000 0.216
0.000 0.000 0.784
0.500 0.500 0.000
0.500 0.500 0.500
```

2:
Material: Ba2RhBr
Method: DFT, PBE-GGA
State: optimized geometry

- size of the total moment (μB/f.u.) = 0.00
- volume (Å³/f.u.) = 143

```
Ba2RhBr
1.0
-2.048 2.079 8.390
2.048 -2.079 8.390
2.048 2.079 -8.390
Ba Rh Br
2 1 1
direct
0.000 0.000 0.000
0.714 0.214 0.500
0.130 0.630 0.500
0.388 0.388 0.000
```

Result of the stability comparison: 1 is the most stable of them.

1:
Material: Ba4RhBr
Method: DFT, PBE-GGA
State: optimized geometry

- size of the total moment (μB/f.u.) = 0.00
- volume (Å³/f.u.) = 279

```
Ba4RhBr
1.0
5.442 -9.205 0.000
5.442 9.205 0.000
-5.141 0.000 5.562
Ba Rh Br
8 2 2
direct
0.011 0.626 0.831
0.235 0.390 0.843
0.374 0.989 0.669
0.390 0.235 0.343
0.610 0.765 0.657
0.626 0.011 0.331
0.765 0.610 0.157
0.989 0.374 0.169
0.309 0.691 0.250
0.691 0.309 0.750
0.030 0.970 0.750
0.970 0.030 0.250
```

2:
Material: Ba4RhBr
Method: DFT, PBE-GGA
State: optimized geometry

- size of the total moment (μB/f.u.) = 0.00
- volume (Å³/f.u.) = 250

```
Ba4RhBr
1.0
0.000 5.002 5.002
5.002 0.000 5.002
5.002 5.002 0.000
Ba Rh Br
4 1 1
direct
0.376 0.376 0.376
0.376 0.376 0.873
0.376 0.873 0.376
0.873 0.376 0.376
0.750 0.750 0.750
0.000 0.000 0.000
```

Result of the stability comparison: 1 is the most stable of them.

1:
Material: Ba3RhBr2
Method: DFT, PBE-GGA
State: optimized geometry

- size of the total moment (μB/f.u.) = 0.34
- volume (Å³/f.u.) = 227

```
Ba3RhBr2
1.0
4.362 -7.019 0.000
4.362 7.019 0.000
-2.767 0.000 7.403
Ba Rh Br
6 2 4
direct
0.000 0.500 0.500
0.133 0.275 0.005
0.275 0.133 0.505
0.500 0.000 0.000
0.725 0.867 0.495
0.867 0.725 0.995
0.094 0.906 0.750
0.906 0.094 0.250
0.262 0.738 0.250
0.421 0.579 0.750
0.579 0.421 0.250
0.738 0.262 0.750
```

2:
Material: Ba3RhBr2
Method: DFT, PBE-GGA
State: optimized geometry

- size of the total moment (μB/f.u.) = 0.00
- volume (Å³/f.u.) = 227

```
Ba3RhBr2
1.0
-2.239 3.276 7.732
2.239 -3.276 7.732
2.239 3.276 -7.732
Ba Rh Br
3 1 2
direct
0.000 0.000 0.000
0.364 0.364 0.000
0.636 0.636 0.000
0.500 0.000 0.500
0.179 0.679 0.500
0.821 0.321 0.500
```

Result of the stability comparison: 2 is the most stable of them.

1:
Material: Ba4RhBr2
Method: DFT, PBE-GGA
State: optimized geometry

- size of the total moment (μB/f.u.) = 0.90
- volume (Å³/f.u.) = 309

```
Ba4RhBr2
1.0
-3.065 3.065 8.212
3.065 -3.065 8.212
3.065 3.065 -8.212
Ba Rh Br
4 1 2
direct
0.000 0.500 0.500
0.193 0.193 0.000
0.500 0.000 0.500
0.807 0.807 0.000
0.000 0.000 0.000
0.392 0.392 0.000
0.608 0.608 0.000
```

2:
Material: Ba4RhBr2
Method: DFT, PBE-GGA
State: optimized geometry

- size of the total moment (μB/f.u.) = 0.00
- volume (Å³/f.u.) = 296

```
Ba4RhBr2
1.0
9.212 -2.285 0.000
9.212 2.285 0.000
-3.060 0.000 7.024
Ba Rh Br
4 1 2
direct
0.104 0.104 0.264
0.392 0.392 0.212
0.608 0.608 0.788
0.896 0.896 0.736
0.500 0.500 0.000
0.244 0.244 0.753
0.756 0.756 0.247
```

Result of the stability comparison: 2 is the most stable of them.

1:
Material: BaRu2Br
Method: DFT, PBE-GGA
State: optimized geometry

- size of the total moment (μB/f.u.) = 0.02
- volume (Å³/f.u.) = 84

```
BaRu2Br
1.0
1.631 0.942 9.063
-1.631 0.942 9.063
0.000 -1.883 9.063
Ba Ru Br
1 2 1
direct
0.000 0.000 0.000
0.237 0.237 0.237
0.763 0.763 0.763
0.500 0.500 0.500
```

2:
Material: BaRu2Br
Method: DFT, PBE-GGA
State: optimized geometry

- size of the total moment (μB/f.u.) = 0.00
- volume (Å³/f.u.) = 104

```
BaRu2Br
1.0
3.526 -1.980 0.000
3.526 1.980 0.000
-1.783 0.000 7.443
Ba Ru Br
1 2 1
direct
0.000 0.000 0.000
0.242 0.242 0.609
0.596 0.596 0.701
0.755 0.755 0.322
```

Result of the stability comparison: 2 is the most stable of them.

1:
Material: BaRu2Br
Method: DFT, PBE-GGA
State: optimized geometry

- size of the total moment (μB/f.u.) = 2.58
- volume (Å³/f.u.) = 95

```
BaRu2Br
1.0
3.858 0.000 0.000
0.000 3.858 0.000
0.000 0.000 6.365
Ba Ru Br
1 2 1
direct
0.000 0.000 0.000
0.500 0.500 0.315
0.500 0.500 0.685
0.000 0.000 0.500
```

2:
Material: BaRu2Br
Method: DFT, PBE-GGA
State: optimized geometry

- size of the total moment (μB/f.u.) = 0.00
- volume (Å³/f.u.) = 107

```
BaRu2Br
1.0
-1.903 3.018 4.643
1.903 -3.018 4.643
1.903 3.018 -4.643
Ba Ru Br
1 2 1
direct
0.000 0.000 0.000
0.513 0.513 0.000
0.657 0.157 0.500
0.303 0.803 0.500
```

Result of the stability comparison: 2 is the most stable of them.

1:
Material: BaRuBr2
Method: DFT, PBE-GGA
State: optimized geometry

- size of the total moment (μB/f.u.) = 2.33
- volume (Å³/f.u.) = 117

```
BaRuBr2
1.0
-2.225 2.225 5.900
2.225 -2.225 5.900
2.225 2.225 -5.900
Ba Ru Br
1 1 2
direct
0.000 0.000 0.000
0.750 0.250 0.500
0.250 0.750 0.500
0.500 0.500 0.000
```

2:
Material: BaRuBr2
Method: DFT, PBE-GGA
State: optimized geometry

- size of the total moment (μB/f.u.) = 1.60
- volume (Å³/f.u.) = 125

```
BaRuBr2
1.0
-1.893 2.043 8.091
1.893 -2.043 8.091
1.893 2.043 -8.091
Ba Ru Br
1 1 2
direct
0.000 0.000 0.000
0.838 0.338 0.500
0.333 0.833 0.500
0.604 0.604 0.000
```

3:
Material: BaRuBr2
Method: DFT, PBE-GGA
State: optimized geometry

- size of the total moment (μB/f.u.) = 0.00
- volume (Å³/f.u.) = 111

```
BaRuBr2
1.0
3.290 -4.132 0.000
3.290 4.132 0.000
0.000 0.000 4.079
Ba Ru Br
1 1 2
direct
0.000 0.000 0.000
0.500 0.500 0.000
0.312 0.688 0.500
0.688 0.312 0.500
```

4:
Material: BaRuBr2
Method: DFT, PBE-GGA
State: optimized geometry

- size of the total moment (μB/f.u.) = 2.12
- volume (Å³/f.u.) = 109

```
BaRuBr2
1.0
0.000 3.789 3.789
3.789 0.000 3.789
3.789 3.789 0.000
Ba Ru Br
1 1 2
direct
0.000 0.000 0.000
0.500 0.500 0.500
0.250 0.250 0.250
0.750 0.750 0.750
```

Result of the stability comparison: 3 is the most stable of them.

1:
Material: BaRuBr2
Method: DFT, PBE-GGA
State: optimized geometry

- size of the total moment (μB/f.u.) = 0.00
- volume (Å³/f.u.) = 126

```
BaRuBr2
1.0
-2.803 2.803 7.995
2.803 -2.803 7.995
2.803 2.803 -7.995
Ba Ru Br
2 2 4
direct
0.000 0.000 0.000
0.750 0.250 0.500
0.250 0.750 0.500
0.500 0.500 0.000
0.228 0.625 0.103
0.375 0.478 0.603
0.522 0.125 0.897
0.875 0.772 0.397
```

2:
Material: BaRuBr2
Method: DFT, PBE-GGA
State: optimized geometry

- size of the total moment (μB/f.u.) = 0.58
- volume (Å³/f.u.) = 132

```
BaRuBr2
1.0
6.069 -1.968 0.000
6.069 1.968 0.000
-0.488 0.000 5.508
Ba Ru Br
1 1 2
direct
0.000 0.000 0.000
0.691 0.691 0.802
0.271 0.271 0.016
0.517 0.517 0.502
```

3:
Material: BaRuBr2
Method: DFT, PBE-GGA
State: optimized geometry

- size of the total moment (μB/f.u.) = 2.42
- volume (Å³/f.u.) = 109

```
BaRuBr2
1.0
5.144 0.000 0.000
0.000 5.144 0.000
0.000 0.000 4.129
Ba Ru Br
1 1 2
direct
0.000 0.000 0.000
0.500 0.500 0.000
0.000 0.500 0.500
0.500 0.000 0.500
```

4:
Material: BaRuBr2
Method: DFT, PBE-GGA
State: optimized geometry

- size of the total moment (μB/f.u.) = 2.00
- volume (Å³/f.u.) = 108

```
BaRuBr2
1.0
2.349 1.356 5.656
-2.349 1.356 5.656
0.000 -2.713 5.656
Ba Ru Br
1 1 2
direct
0.000 0.000 0.000
0.500 0.500 0.500
0.228 0.228 0.228
0.772 0.772 0.772
```

Result of the stability comparison: 2 is the most stable of them.